Density functional theory data (PBE) for a relaxed TcRhPb2 crystal.

a = 6.8961 Å, b = 6.8961 Å, c = 6.8961 Å
α = 90.00°, β = 90.00°, γ = 90.00°
Closest atoms and distances in Å follow each position.
Space group F-43m (No. 216)
Unique sites:
Tc 0.0000 0.0000 0.0000 (multiplicity 4)  4 Pb 2.99, 4 Rh 2.99
Rh 0.2500 0.2500 0.2500 (multiplicity 4)  4 Pb 2.99, 4 Tc 2.99
Pb 0.0000 0.0000 0.5000 (multiplicity 4)  4 Pb 2.99, 4 Rh 2.99
Pb 0.2500 0.2500 0.7500 (multiplicity 4)  4 Pb 2.99, 4 Tc 2.99

## Properties
**D(E_F)**: 19.32 states/eV/cell
**Distance to the lowest polymorph of the same formula**: 0.425 eV/atom
**Calculated formation energy**: 0.6877 eV/atom

=====

Density functional theory data (PBE) for a relaxed PmScIn6 crystal.

a = 4.6164 Å, b = 4.6164 Å, c = 9.2048 Å
α = 90.00°, β = 90.00°, γ = 90.00°
Closest atoms and distances in Å follow each position.
Space group P4/mmm (No. 123)
Unique sites:
Pm 0.0000 0.0000 0.0000 (multiplicity 1)  12 In 3.26-3.32
Sc 0.0000 0.0000 0.5000 (multiplicity 1)  12 In 3.20-3.26
In 0.0000 0.5000 0.2600 (multiplicity 4)  8 In 3.20-3.32, 2 Sc 3.20, 2 Pm 3.32
In 0.5000 0.5000 0.0000 (multiplicity 1)  4 Pm 3.26, 8 In 3.32
In 0.5000 0.5000 0.5000 (multiplicity 1)  8 In 3.20, 4 Sc 3.26

## Properties
**D(E_F)**: 2.33 states/eV/cell
**Calculated formation energy**: -0.3849 eV/atom

=====

Density functional theory data (PBE) for a relaxed NiB2W2 crystal.

a = 3.2091 Å, b = 4.5843 Å, c = 7.1111 Å
α = 90.00°, β = 90.00°, γ = 90.00°
Closest atoms and distances in Å follow each position.
Space group Immm (No. 71)
Unique sites:
Ni 0.0000 0.0000 0.0000 (multiplicity 2)  4 B 2.10
B 0.0000 0.2029 0.5000 (multiplicity 4)  1 B 1.86
W 0.0000 0.5000 0.1998 (multiplicity 4)  6 B 2.34-2.53

## Properties
**D(E_F)**: 2.52 states/eV/cell
**Calculated formation energy**: -0.4371 eV/atom